# 1
La2PmZnN: relaxed, PBE-GGA.

CIF file:
```
data_La2PmZnN
_cell_length_a 5.076
_cell_length_b 5.076
_cell_length_c 4.964
_cell_angle_alpha 90.00
_cell_angle_beta 90.00
_cell_angle_gamma 90.00
_symmetry_space_group_name_H-M 'P 1'
_symmetry_Int_Tables_number 1
_symmetry_space_group_name_Hall 'P 1'
loop_
_atom_site_label
_atom_site_fract_x
_atom_site_fract_y
_atom_site_fract_z
La1 0.000 0.500 0.000
La2 0.500 0.000 0.000
Pm1 0.000 0.000 0.500
Zn1 0.500 0.500 0.500
N1 0.000 0.000 0.000
```

Properties
- density (g cm⁻³) = 6.5
- spin magnetization (μB per cell) = 0.000
- formation energy from raw total energies (eV per atom) = -0.65

=====

# 2
LaPmZrN3: relaxed, PBE-GGA.

CIF file:
```
data_LaPmZrN3
_cell_length_a 6.833
_cell_length_b 3.484
_cell_length_c 9.905
_cell_angle_alpha 90.00
_cell_angle_beta 90.70
_cell_angle_gamma 90.00
_symmetry_space_group_name_H-M 'P 1'
_symmetry_Int_Tables_number 1
_symmetry_space_group_name_Hall 'P 1'
loop_
_atom_site_label
_atom_site_fract_x
_atom_site_fract_y
_atom_site_fract_z
La1 0.162 0.250 0.220
La2 0.838 0.750 0.780
Pm1 0.357 0.750 0.878
Pm2 0.643 0.250 0.122
Zr1 0.167 0.250 0.569
Zr2 0.833 0.750 0.431
N1 0.148 0.250 0.780
N2 0.154 0.750 0.444
N3 0.363 0.750 0.115
N4 0.637 0.250 0.885
N5 0.846 0.250 0.556
N6 0.852 0.750 0.220
```

Properties
- density (g cm⁻³) = 5.9
- spin magnetization (μB per cell) = 0.000
- formation energy from raw total energies (eV per atom) = -1.20

=====

# 3
La3Pr2N3: relaxed, PBE-GGA.

CIF file:
```
data_La3Pr2N3
_cell_length_a 6.564
_cell_length_b 6.564
_cell_length_c 12.040
_cell_angle_alpha 90.26
_cell_angle_beta 90.26
_cell_angle_gamma 46.74
_symmetry_space_group_name_H-M 'P 1'
_symmetry_Int_Tables_number 1
_symmetry_space_group_name_Hall 'P 1'
loop_
_atom_site_label
_atom_site_fract_x
_atom_site_fract_y
_atom_site_fract_z
La1 0.000 0.000 0.000
La2 0.004 0.004 0.741
La3 0.201 0.201 0.372
La4 0.608 0.608 0.191
La5 0.694 0.694 0.872
La6 0.891 0.891 0.502
Pr1 0.280 0.280 0.056
Pr2 0.283 0.283 0.690
Pr3 0.613 0.613 0.554
Pr4 0.889 0.889 0.242
N1 0.102 0.102 0.176
N2 0.107 0.107 0.566
N3 0.168 0.168 0.872
N4 0.724 0.724 0.374
N5 0.787 0.787 0.064
N6 0.790 0.790 0.678
```

Properties
- density (g cm⁻³) = 6.5
- spin magnetization (μB per cell) = 0.000
- formation energy from raw total energies (eV per atom) = -0.88

=====

# 4
La4Pr2N: relaxed, PBE-GGA.

CIF file:
```
data_La4Pr2N
_cell_length_a 19.144
_cell_length_b 19.144
_cell_length_c 19.144
_cell_angle_alpha 11.12
_cell_angle_beta 11.12
_cell_angle_gamma 11.12
_symmetry_space_group_name_H-M 'P 1'
_symmetry_Int_Tables_number 1
_symmetry_space_group_name_Hall 'P 1'
loop_
_atom_site_label
_atom_site_fract_x
_atom_site_fract_y
_atom_site_fract_z
La1 0.138 0.138 0.138
La2 0.358 0.358 0.358
La3 0.642 0.642 0.642
La4 0.862 0.862 0.862
Pr1 0.246 0.246 0.246
Pr2 0.754 0.754 0.754
N1 0.000 0.000 0.000
```

Properties
- density (g cm⁻³) = 6.2
- spin magnetization (μB per cell) = 0.000
- formation energy from raw total energies (eV per atom) = -0.36

=====

# 5
La2Pr2N3: relaxed, PBE-GGA.

CIF file:
```
data_La2Pr2N3
_cell_length_a 6.506
_cell_length_b 6.506
_cell_length_c 6.495
_cell_angle_alpha 100.83
_cell_angle_beta 100.83
_cell_angle_gamma 33.28
_symmetry_space_group_name_H-M 'P 1'
_symmetry_Int_Tables_number 1
_symmetry_space_group_name_Hall 'P 1'
loop_
_atom_site_label
_atom_site_fract_x
_atom_site_fract_y
_atom_site_fract_z
La1 0.124 0.124 0.384
La2 0.876 0.876 0.616
Pr1 0.363 0.363 0.142
Pr2 0.637 0.637 0.858
N1 0.242 0.242 0.749
N2 0.500 0.500 0.500
N3 0.758 0.758 0.251
```

Properties
- density (g cm⁻³) = 6.8
- spin magnetization (μB per cell) = 0.817
- formation energy from raw total energies (eV per atom) = -1.13

=====

# 6
La2PrN2: relaxed, PBE-GGA.

CIF file:
```
data_La2PrN2
_cell_length_a 6.504
_cell_length_b 6.504
_cell_length_c 6.504
_cell_angle_alpha 147.32
_cell_angle_beta 131.05
_cell_angle_gamma 60.10
_symmetry_space_group_name_H-M 'P 1'
_symmetry_Int_Tables_number 1
_symmetry_space_group_name_Hall 'P 1'
loop_
_atom_site_label
_atom_site_fract_x
_atom_site_fract_y
_atom_site_fract_z
La1 0.180 0.180 0.000
La2 0.820 0.820 0.000
Pr1 0.500 0.500 0.000
N1 0.330 0.830 0.500
N2 0.670 0.170 0.500
```

Properties
- density (g cm⁻³) = 6.7
- spin magnetization (μB per cell) = 0.000
- formation energy from raw total energies (eV per atom) = -1.03

=====

# 7
LaPr5N5: relaxed, PBE-GGA.

CIF file:
```
data_LaPr5N5
_cell_length_a 6.411
_cell_length_b 6.411
_cell_length_c 7.410
_cell_angle_alpha 106.73
_cell_angle_beta 106.73
_cell_angle_gamma 48.40
_symmetry_space_group_name_H-M 'P 1'
_symmetry_Int_Tables_number 1
_symmetry_space_group_name_Hall 'P 1'
loop_
_atom_site_label
_atom_site_fract_x
_atom_site_fract_y
_atom_site_fract_z
La1 0.000 0.000 0.000
Pr1 0.000 0.000 0.500
Pr2 0.325 0.325 0.671
Pr3 0.329 0.329 0.154
Pr4 0.671 0.671 0.846
Pr5 0.675 0.675 0.329
N1 0.166 0.166 0.339
N2 0.172 0.172 0.834
N3 0.500 0.500 0.000
N4 0.828 0.828 0.166
N5 0.834 0.834 0.661
```

Properties
- density (g cm⁻³) = 7.0
- spin magnetization (μB per cell) = 0.219
- formation energy from raw total energies (eV per atom) = -1.17

=====

# 8
LaPr2N2: relaxed, PBE-GGA.

CIF file:
```
data_LaPr2N2
_cell_length_a 6.515
_cell_length_b 6.515
_cell_length_c 6.515
_cell_angle_alpha 147.18
_cell_angle_beta 132.16
_cell_angle_gamma 59.23
_symmetry_space_group_name_H-M 'P 1'
_symmetry_Int_Tables_number 1
_symmetry_space_group_name_Hall 'P 1'
loop_
_atom_site_label
_atom_site_fract_x
_atom_site_fract_y
_atom_site_fract_z
La1 0.000 0.000 0.000
Pr1 0.318 0.318 0.000
Pr2 0.682 0.682 0.000
N1 0.170 0.670 0.500
N2 0.830 0.330 0.500
```

Properties
- density (g cm⁻³) = 6.8
- spin magnetization (μB per cell) = 0.010
- formation energy from raw total energies (eV per atom) = -1.02